PrDy2Cu2Si2: optimized geometry, PBE.

a = 4.244 Å, b = 4.244 Å, c = 9.811 Å
α = 77.51°, β = 77.51°, γ = 60.00°
Fractional positions:
Si  0.740  0.740  0.779
Si  0.260  0.260  0.221
Cu  0.405  0.405  0.785
Cu  0.595  0.595  0.215
Dy  0.872  0.872  0.383
Dy  0.128  0.128  0.617
Pr  0.000  0.000  0.000

Results
- space group = R-3m
- E_tot (eV per atom) = -5.197
- formation energy (no corrections) (eV per atom) = -0.479


PrSmDyCu: optimized geometry, PBE.

a = 3.570 Å, b = 3.570 Å, c = 8.761 Å
α = 90.00°, β = 90.00°, γ = 90.00°
Fractional positions:
Pr  0.000  0.000  0.075
Dy  0.500  0.500  0.381
Cu  0.000  0.000  0.563
Sm  0.500  0.500  0.766

Results
- space group = P4mm
- ΔE_f (eV/atom) = -0.088
- E_tot (eV per atom) = -4.637


TbPrDyCu: optimized geometry, PBE.

a = 3.545 Å, b = 3.545 Å, c = 8.738 Å
α = 90.00°, β = 90.00°, γ = 90.00°
Fractional positions:
Tb  0.500  0.500  0.380
Cu  0.000  0.000  0.573
Dy  0.500  0.500  0.762
Pr  0.000  0.000  0.070

Results
- space group = P4mm
- ΔE_f (eV/atom) = -0.100
- E_tot (eV per atom) = -4.627


PrDyCuTc: optimized geometry, PBE.

a = 4.969 Å, b = 4.969 Å, c = 4.969 Å
α = 60.00°, β = 60.00°, γ = 60.00°
Fractional positions:
Pr  0.500  0.500  0.500
Cu  0.250  0.250  0.250
Dy  0.000  0.000  0.000
Tc  0.750  0.750  0.750

Results
- space group = F-43m
- ΔE_f (eV/atom) = 0.017
- E_tot (eV per atom) = -5.944


Pr2DyCuTe5: optimized geometry, PBE.

a = 4.334 Å, b = 9.814 Å, c = 13.061 Å
α = 90.00°, β = 90.00°, γ = 102.75°
Fractional positions:
Te  0.688  0.376  0.843
Te  0.646  0.291  0.499
Te  0.042  0.084  0.063
Te  0.312  0.624  0.343
Te  0.354  0.709  0.999
Te  0.500  0.999  0.287
Te  0.714  0.428  0.172
Te  0.958  0.916  0.563
Te  0.286  0.572  0.672
Te  0.500  0.001  0.787
Dy  0.809  0.618  0.509
Dy  0.191  0.382  0.009
Pr  0.124  0.248  0.307
Pr  0.876  0.752  0.807
Pr  0.891  0.782  0.186
Pr  0.109  0.218  0.686
Cu  0.572  0.143  0.958
Cu  0.428  0.857  0.458

Results
- space group = Cmc2_1
- E_tot (eV per atom) = -4.990
- formation energy (no corrections) (eV per atom) = -1.216


PrDyTmCu: optimized geometry, PBE.

a = 3.512 Å, b = 3.512 Å, c = 8.714 Å
α = 90.00°, β = 90.00°, γ = 90.00°
Fractional positions:
Dy  0.500  0.500  0.763
Cu  0.000  0.000  0.565
Pr  0.000  0.000  0.075
Tm  0.500  0.500  0.382

Results
- space group = P4mm
- ΔE_f (eV/atom) = -0.109
- E_tot (eV per atom) = -4.596


DyCu4Pt4: optimized geometry, PBE.

a = 4.599 Å, b = 7.957 Å, c = 7.957 Å
α = 90.00°, β = 90.00°, γ = 90.00°
Fractional positions:
Pt  0.499  0.428  0.851
Pt  0.501  0.149  0.428
Pt  0.001  0.928  0.351
Pt  0.999  0.649  0.928
Pt  0.001  0.072  0.649
Pt  0.999  0.351  0.072
Pt  0.501  0.851  0.572
Pt  0.499  0.572  0.149
Cu  0.000  0.722  0.622
Cu  0.500  0.778  0.878
Cu  0.000  0.278  0.378
Cu  0.500  0.222  0.122
Cu  0.500  0.878  0.222
Cu  0.000  0.622  0.278
Cu  0.000  0.378  0.722
Cu  0.500  0.122  0.778
Dy  0.000  0.000  0.000
Dy  0.500  0.500  0.500

Results
- space group = I4/m
- ΔE_f (eV/atom) = -0.204
- E_tot (eV per atom) = -5.221


Dy3CuPt2: optimized geometry, PBE.

a = 4.033 Å, b = 11.603 Å, c = 11.579 Å
α = 90.00°, β = 90.00°, γ = 90.00°
Fractional positions:
Dy  0.750  0.627  0.953
Dy  0.750  0.873  0.453
Dy  0.250  0.067  0.872
Dy  0.250  0.127  0.547
Dy  0.750  0.316  0.787
Dy  0.750  0.184  0.287
Dy  0.750  0.567  0.628
Dy  0.750  0.933  0.128
Dy  0.250  0.373  0.047
Dy  0.250  0.816  0.713
Dy  0.250  0.684  0.213
Dy  0.250  0.433  0.372
Cu  0.750  0.622  0.378
Cu  0.750  0.878  0.878
Cu  0.250  0.378  0.622
Cu  0.250  0.122  0.122
Pt  0.250  0.808  0.999
Pt  0.250  0.692  0.499
Pt  0.750  0.192  0.001
Pt  0.750  0.308  0.501
Pt  0.250  0.497  0.818
Pt  0.750  0.503  0.182
Pt  0.750  0.997  0.682
Pt  0.250  0.003  0.318

Results
- space group = Pnma
- ΔE_f (eV/atom) = -0.931
- E_tot (eV per atom) = -5.928


Dy6Cu2Pt: optimized geometry, PBE.

a = 8.317 Å, b = 8.317 Å, c = 8.317 Å
α = 109.00°, β = 109.88°, γ = 109.54°
Fractional positions:
Dy  0.562  0.737  0.824
Dy  0.816  0.745  0.561
Dy  0.299  0.626  0.327
Dy  0.299  0.972  0.673
Dy  0.701  0.374  0.673
Dy  0.184  0.745  0.929
Dy  0.701  0.028  0.327
Dy  0.913  0.737  0.176
Dy  0.816  0.255  0.071
Dy  0.087  0.263  0.824
Dy  0.184  0.255  0.439
Dy  0.438  0.263  0.176
Cu  0.646  0.000  0.646
Cu  0.354  0.000  0.354
Cu  0.500  0.379  0.879
Cu  0.500  0.621  0.121
Pt  0.000  0.500  0.500
Pt  0.000  0.000  0.000

Results
- space group = Immm
- ΔE_f (eV/atom) = -0.389
- E_tot (eV per atom) = -5.039


Dy2CuPt: optimized geometry, PBE.

a = 3.481 Å, b = 4.925 Å, c = 4.925 Å
α = 90.00°, β = 90.00°, γ = 90.00°
Fractional positions:
Cu  0.500  0.500  0.500
Pt  0.500  0.000  0.000
Dy  0.000  0.000  0.500
Dy  0.000  0.500  0.000

Results
- space group = P4/mmm
- ΔE_f (eV/atom) = -0.758
- E_tot (eV per atom) = -5.593


DyCuPt: optimized geometry, PBE.

a = 3.594 Å, b = 3.594 Å, c = 5.037 Å
α = 110.90°, β = 110.90°, γ = 90.00°
Fractional positions:
Cu  0.622  0.622  0.244
Dy  0.945  0.945  0.890
Pt  0.283  0.283  0.566

Results
- space group = I4mm
- ΔE_f (eV/atom) = -0.688
- distance to the lowest polymorph of the same formula (eV per atom) = 0.149
- E_tot (eV per atom) = -5.601


Dy6CuPt5: optimized geometry, PBE.

a = 4.939 Å, b = 8.566 Å, c = 8.566 Å
α = 120.19°, β = 106.75°, γ = 106.75°
Fractional positions:
Pt  0.500  0.160  0.840
Pt  0.500  0.500  0.500
Pt  0.000  0.329  0.671
Pt  0.000  0.671  0.329
Pt  0.500  0.840  0.160
Dy  0.252  0.084  0.419
Dy  0.748  0.916  0.581
Dy  0.753  0.253  0.253
Dy  0.247  0.747  0.747
Dy  0.252  0.419  0.084
Dy  0.748  0.581  0.916
Cu  0.000  0.000  0.000

Results
- space group = Immm
- ΔE_f (eV/atom) = -1.076
- E_tot (eV per atom) = -6.235


Dy4CuPt: optimized geometry, PBE.

a = 6.877 Å, b = 6.897 Å, c = 6.938 Å
α = 90.00°, β = 89.32°, γ = 90.00°
Fractional positions:
Pt  0.000  0.000  0.000
Pt  0.500  0.500  0.000
Dy  0.342  0.843  0.158
Dy  0.842  0.657  0.158
Dy  0.839  0.158  0.339
Dy  0.339  0.342  0.339
Dy  0.158  0.343  0.842
Dy  0.661  0.658  0.661
Dy  0.161  0.842  0.661
Dy  0.658  0.157  0.842
Cu  0.000  0.500  0.500
Cu  0.500  0.000  0.500

Results
- space group = P2_1/c
- ΔE_f (eV/atom) = -0.407
- E_tot (eV per atom) = -5.164


Dy3Cu2Pt: optimized geometry, PBE.

a = 4.362 Å, b = 10.668 Å, c = 11.645 Å
α = 90.00°, β = 90.00°, γ = 90.00°
Fractional positions:
Dy  0.250  0.125  0.550
Dy  0.250  0.433  0.388
Dy  0.250  0.696  0.224
Dy  0.750  0.625  0.950
Dy  0.750  0.304  0.776
Dy  0.750  0.196  0.276
Dy  0.250  0.375  0.050
Dy  0.750  0.567  0.612
Dy  0.750  0.875  0.450
Dy  0.250  0.804  0.724
Dy  0.250  0.067  0.888
Dy  0.750  0.933  0.112
Cu  0.750  0.301  0.511
Cu  0.250  0.801  0.989
Cu  0.250  0.699  0.489
Cu  0.250  0.982  0.310
Cu  0.750  0.482  0.190
Cu  0.250  0.518  0.810
Cu  0.750  0.199  0.011
Cu  0.750  0.018  0.690
Pt  0.250  0.121  0.129
Pt  0.750  0.621  0.371
Pt  0.750  0.879  0.871
Pt  0.250  0.379  0.629

Results
- space group = Pnma
- ΔE_f (eV/atom) = -0.530
- E_tot (eV per atom) = -5.203


DyCu3Pt4: optimized geometry, PBE.

a = 4.797 Å, b = 5.861 Å, c = 8.961 Å
α = 90.00°, β = 90.00°, γ = 90.00°
Fractional positions:
Pt  0.500  0.762  0.000
Pt  0.856  0.773  0.250
Pt  0.500  0.238  0.000
Pt  0.500  0.762  0.500
Pt  0.144  0.227  0.750
Pt  0.856  0.227  0.250
Pt  0.144  0.773  0.750
Pt  0.500  0.238  0.500
Cu  0.345  0.000  0.250
Cu  0.655  0.000  0.750
Cu  0.000  0.000  0.000
Cu  0.586  0.500  0.750
Cu  0.000  0.000  0.500
Cu  0.414  0.500  0.250
Dy  0.000  0.500  0.500
Dy  0.000  0.500  0.000

Results
- space group = Pmma
- ΔE_f (eV/atom) = -0.430
- E_tot (eV per atom) = -5.562


DyCu4Pt: optimized geometry, PBE.

a = 4.989 Å, b = 4.989 Å, c = 4.989 Å
α = 60.00°, β = 60.00°, γ = 60.00°
Fractional positions:
Cu  0.123  0.626  0.626
Cu  0.626  0.626  0.626
Cu  0.626  0.626  0.123
Cu  0.626  0.123  0.626
Pt  0.000  0.000  0.000
Dy  0.250  0.250  0.250

Results
- space group = F-43m
- ΔE_f (eV/atom) = -0.403
- E_tot (eV per atom) = -4.907


DyCuPt: optimized geometry, PBE.

a = 4.261 Å, b = 5.328 Å, c = 5.452 Å
α = 90.00°, β = 90.00°, γ = 113.57°
Fractional positions:
Pt  0.096  0.192  0.250
Pt  0.904  0.808  0.750
Dy  0.796  0.591  0.250
Dy  0.204  0.409  0.750
Cu  0.500  0.000  0.500
Cu  0.500  0.000  0.000

Results
- space group = Cmcm
- ΔE_f (eV/atom) = -0.837
- distance to the lowest polymorph of the same formula (eV per atom) = 0.000
- E_tot (eV per atom) = -5.750


DyCuPt4: optimized geometry, PBE.

a = 5.321 Å, b = 5.321 Å, c = 5.321 Å
α = 60.00°, β = 60.00°, γ = 60.00°
Fractional positions:
Pt  0.626  0.123  0.626
Pt  0.626  0.626  0.626
Pt  0.626  0.626  0.123
Pt  0.123  0.626  0.626
Dy  0.250  0.250  0.250
Cu  0.000  0.000  0.000

Results
- space group = F-43m
- ΔE_f (eV/atom) = -0.632
- E_tot (eV per atom) = -6.109


Dy2Cu2Pt: optimized geometry, PBE.

a = 7.098 Å, b = 7.098 Å, c = 7.649 Å
α = 90.00°, β = 90.00°, γ = 90.00°
Fractional positions:
Dy  0.683  0.817  0.500
Dy  0.817  0.317  0.500
Dy  0.683  0.817  0.000
Dy  0.317  0.183  0.500
Dy  0.183  0.683  0.000
Dy  0.817  0.317  0.000
Dy  0.317  0.183  0.000
Dy  0.183  0.683  0.500
Cu  0.380  0.880  0.750
Cu  0.880  0.620  0.750
Cu  0.620  0.120  0.750
Cu  0.380  0.880  0.250
Cu  0.120  0.380  0.750
Cu  0.120  0.380  0.250
Cu  0.620  0.120  0.250
Cu  0.880  0.620  0.250
Pt  0.500  0.500  0.250
Pt  0.500  0.500  0.750
Pt  0.000  0.000  0.750
Pt  0.000  0.000  0.250

Results
- space group = P4/mbm
- ΔE_f (eV/atom) = -0.546
- distance to the lowest polymorph of the same formula (eV per atom) = 0.070
- E_tot (eV per atom) = -5.234


Dy2CuPt: optimized geometry, PBE.

a = 4.922 Å, b = 4.922 Å, c = 4.922 Å
α = 60.00°, β = 60.00°, γ = 60.00°
Fractional positions:
Dy  0.000  0.000  0.000
Dy  0.500  0.500  0.500
Cu  0.250  0.250  0.250
Pt  0.750  0.750  0.750

Results
- space group = Fm-3m
- ΔE_f (eV/atom) = -0.772
- E_tot (eV per atom) = -5.607


Dy3CuPt: optimized geometry, PBE.

a = 3.788 Å, b = 7.039 Å, c = 9.452 Å
α = 90.00°, β = 90.00°, γ = 90.00°
Fractional positions:
Dy  0.750  0.991  0.685
Dy  0.750  0.509  0.685
Dy  0.250  0.491  0.315
Dy  0.250  0.009  0.315
Dy  0.750  0.750  0.051
Dy  0.250  0.250  0.949
Cu  0.250  0.250  0.569
Cu  0.750  0.750  0.431
Pt  0.250  0.750  0.834
Pt  0.750  0.250  0.166

Results
- space group = Pmmn
- ΔE_f (eV/atom) = -0.537
- E_tot (eV per atom) = -5.325


DyCuPt: optimized geometry, PBE.

a = 3.563 Å, b = 4.345 Å, c = 4.345 Å
α = 120.00°, β = 90.00°, γ = 90.00°
Fractional positions:
Pt  0.167  0.333  0.667
Cu  0.167  0.000  0.000
Dy  0.667  0.667  0.333

Results
- space group = P-6m2
- ΔE_f (eV/atom) = -0.775
- distance to the lowest polymorph of the same formula (eV per atom) = 0.062
- E_tot (eV per atom) = -5.688